PmAl3ZnCo | PBE | relaxed

Summary:
**Uncorrected energy**: -4.2916 eV per atom
**Magnetization**: 0.00 μB/cell
**Energy relative to the elements**: -0.232 eV/atom

Lattice parameters (Å, degrees): 6.1744 12.2797 5.7379 90.00 90.00 90.00
Space group Cmcm (No. 63)
Inequivalent atoms, fractional coordinates:
1 Pm 0.0000 0.2292 0.2500
2 Al 0.0000 0.3656 0.7500
3 Al 0.2110 0.0000 0.0000
4 Zn 0.0000 0.1522 0.7500
5 Co 0.0000 0.4401 0.2500

=====

Pr2AlCo | PBE | relaxed

Summary:
**Uncorrected energy**: -5.2045 eV per atom
**Magnetization**: 0.72 μB/cell
**Energy relative to the elements**: -0.103 eV/atom
**Polymorph energy (0 for the lowest one)**: 0.000 eV/atom

Lattice parameters (Å, degrees): 3.6044 3.6044 7.4406 90.00 90.00 90.00
Space group P4/mmm (No. 123)
Inequivalent atoms, fractional coordinates:
1 Pr 0.0000 0.0000 0.2287
2 Al 0.5000 0.5000 0.5000
3 Co 0.5000 0.5000 0.0000

=====

Pr2AlCo | PBE | relaxed

Summary:
**Uncorrected energy**: -4.6023 eV per atom
**Magnetization**: 2.30 μB/cell
**Energy relative to the elements**: 0.500 eV/atom
**Polymorph energy (0 for the lowest one)**: 0.602 eV/atom

Lattice parameters (Å, degrees): 3.4089 3.4089 30.4871 90.00 90.00 120.00
Space group R-3m (No. 166, hexagonal axes)
Inequivalent atoms, fractional coordinates:
1 Pr 0.0000 0.0000 0.0840
2 Al 0.0000 0.0000 0.5000
3 Co 0.0000 0.0000 0.0000

=====

Pr2AlCo2 | PBE | relaxed

Summary:
**Uncorrected energy**: -5.7259 eV per atom
**Magnetization**: 0.00 μB/cell
**Energy relative to the elements**: -0.223 eV/atom

Lattice parameters (Å, degrees): 4.0198 5.6271 8.9609 90.00 90.00 90.00
Space group Immm (No. 71)
Inequivalent atoms, fractional coordinates:
1 Pr 0.0000 0.0000 0.1982
2 Al 0.0000 0.5000 0.0000
3 Co 0.0000 0.2696 0.5000